(a)
A plane-wave DFT calculation with GGA-PBE was carried out for a relaxed KCdSb2Te crystal.

a = 5.9422 Å, b = 5.9422 Å, c = 5.9436 Å
α = 90.00°, β = 90.00°, γ = 90.00°
Closest atoms and distances in Å follow each position.
Fractional coordinates of all 5 atoms:
K1 0.0000 0.0000 0.0000  4 Sb 2.97, 2 Te 2.97
Cd1 0.5000 0.5000 0.5000  4 Te 4.20, 8 Sb 4.20
Sb1 0.0000 0.5000 0.0000  2 K 2.97
Sb2 0.5000 0.0000 0.0000  2 K 2.97
Te1 0.0000 0.0000 0.5000  2 K 2.97

(b)
A plane-wave DFT calculation with GGA-PBE was carried out for a relaxed KCdSb2Te crystal.

a = 5.5929 Å, b = 5.5929 Å, c = 5.9473 Å
α = 90.00°, β = 90.00°, γ = 90.00°
Closest atoms and distances in Å follow each position.
Fractional coordinates of all 5 atoms:
K1 0.0000 0.0000 0.0000  4 Te 3.95, 8 Sb 4.08
Cd1 0.5000 0.5000 0.5000  4 Sb 2.80, 2 Te 2.97
Sb1 0.0000 0.5000 0.5000  2 Cd 2.80
Sb2 0.5000 0.0000 0.5000  2 Cd 2.80
Te1 0.5000 0.5000 0.0000  2 Cd 2.97

Most stable = (b)

(a)
A plane-wave DFT calculation with GGA-PBE was carried out for a relaxed KScCd crystal.

a = 5.6288 Å, b = 5.6288 Å, c = 3.1189 Å
α = 90.00°, β = 90.00°, γ = 120.00°
Closest atoms and distances in Å follow each position.
Fractional coordinates of all 3 atoms:
K1 0.0000 0.0000 0.0000  2 K 3.12, 3 Sc 3.33, 3 Cd 3.45
Sc1 0.6667 0.3333 0.2313  2 Sc 3.12, 3 K 3.33, 3 Cd 3.48
Cd1 0.3333 0.6667 0.6267  2 Cd 3.12, 3 K 3.45, 3 Sc 3.48

(b)
A plane-wave DFT calculation with GGA-PBE was carried out for a relaxed KScCd crystal.

a = 3.5227 Å, b = 3.5227 Å, c = 8.7904 Å
α = 90.00°, β = 90.00°, γ = 120.00°
Closest atoms and distances in Å follow each position.
Fractional coordinates of all 3 atoms:
K1 0.0000 0.0000 0.0000  6 K 3.52, 3 Cd 3.67
Sc1 0.6667 0.3333 0.3942  3 Cd 3.05
Cd1 0.3333 0.6667 0.6524  3 Sc 3.05

(c)
A plane-wave DFT calculation with GGA-PBE was carried out for a relaxed KScCd crystal.

a = 7.5946 Å, b = 7.5946 Å, c = 7.5946 Å
α = 90.00°, β = 90.00°, γ = 90.00°
Closest atoms and distances in Å follow each position.
Fractional coordinates of all 12 atoms:
K1 0.0000 0.0000 0.0000  4 Cd 3.29, 4 Sc 3.29
K2 0.0000 0.5000 0.5000  4 Cd 3.29, 4 Sc 3.29
K3 0.5000 0.0000 0.5000  4 Cd 3.29, 4 Sc 3.29
K4 0.5000 0.5000 0.0000  4 Cd 3.29, 4 Sc 3.29
Sc1 0.2500 0.2500 0.2500  4 K 3.29
Sc2 0.2500 0.7500 0.7500  4 K 3.29
Sc3 0.7500 0.2500 0.7500  4 K 3.29
Sc4 0.7500 0.7500 0.2500  4 K 3.29
Cd1 0.2500 0.2500 0.7500  4 K 3.29
Cd2 0.2500 0.7500 0.2500  4 K 3.29
Cd3 0.7500 0.2500 0.2500  4 K 3.29
Cd4 0.7500 0.7500 0.7500  4 K 3.29

Most stable = (b)

(a)
A plane-wave DFT calculation with GGA-PBE was carried out for a relaxed KScCd crystal.

a = 7.5835 Å, b = 7.5835 Å, c = 7.5835 Å
α = 90.00°, β = 90.00°, γ = 90.00°
Closest atoms and distances in Å follow each position.
Fractional coordinates of all 12 atoms:
K1 0.0000 0.0000 0.0000  4 Cd 3.28
K2 0.0000 0.5000 0.5000  4 Cd 3.28
K3 0.5000 0.0000 0.5000  4 Cd 3.28
K4 0.5000 0.5000 0.0000  4 Cd 3.28
Sc1 0.0000 0.0000 0.5000  4 Cd 3.28
Sc2 0.0000 0.5000 0.0000  4 Cd 3.28
Sc3 0.5000 0.0000 0.0000  4 Cd 3.28
Sc4 0.5000 0.5000 0.5000  4 Cd 3.28
Cd1 0.2500 0.2500 0.2500  4 K 3.28, 4 Sc 3.28
Cd2 0.2500 0.7500 0.7500  4 K 3.28, 4 Sc 3.28
Cd3 0.7500 0.2500 0.7500  4 K 3.28, 4 Sc 3.28
Cd4 0.7500 0.7500 0.2500  4 K 3.28, 4 Sc 3.28

(b)
A plane-wave DFT calculation with GGA-PBE was carried out for a relaxed KScCd crystal.

a = 3.5851 Å, b = 3.5851 Å, c = 15.2139 Å
α = 90.00°, β = 90.00°, γ = 90.00°
Closest atoms and distances in Å follow each position.
Fractional coordinates of all 6 atoms:
K1 0.0000 0.0000 0.0000  4 K 3.59, 4 Cd 3.73
K2 0.5000 0.5000 0.5000  4 K 3.59, 4 Cd 3.73
Sc1 0.0000 0.0000 0.7190  4 Cd 2.97
Sc2 0.5000 0.5000 0.2190  4 Cd 2.97
Cd1 0.0000 0.0000 0.3205  4 Sc 2.97
Cd2 0.5000 0.5000 0.8205  4 Sc 2.97

Most stable = (b)

(a)
A plane-wave DFT calculation with GGA-PBE was carried out for a relaxed K2Cd2Se3 crystal.

a = 11.4501 Å, b = 11.4501 Å, c = 7.5368 Å
α = 109.12°, β = 109.12°, γ = 84.43°
Closest atoms and distances in Å follow each position.
Fractional coordinates of all 28 atoms:
K1 0.0681 0.9319 0.7500  6 Se 3.32-3.48
K2 0.2156 0.7844 0.2500  6 Se 3.30-3.49
K3 0.3055 0.4819 0.3960  4 Se 3.19-3.46
K4 0.4819 0.3055 0.8960  4 Se 3.19-3.46
K5 0.5181 0.6945 0.1040  4 Se 3.19-3.46
K6 0.6945 0.5181 0.6040  4 Se 3.19-3.46
K7 0.7844 0.2156 0.7500  6 Se 3.30-3.49
K8 0.9319 0.0681 0.2500  6 Se 3.32-3.48
Cd1 0.0451 0.5814 0.7437  4 Se 2.68-2.77
Cd2 0.1436 0.2949 0.8008  4 Se 2.68-2.76
Cd3 0.2949 0.1436 0.3008  4 Se 2.68-2.76
Cd4 0.4186 0.9549 0.7563  4 Se 2.68-2.77
Cd5 0.5814 0.0451 0.2437  4 Se 2.68-2.77
Cd6 0.7051 0.8564 0.6992  4 Se 2.68-2.76
Cd7 0.8564 0.7051 0.1992  4 Se 2.68-2.76
Cd8 0.9549 0.4186 0.2563  4 Se 2.68-2.77
Se1 0.0704 0.6482 0.4429  3 Cd 2.71-2.77
Se2 0.0835 0.2305 0.0776  3 Cd 2.72-2.76
Se3 0.2305 0.0835 0.5776  3 Cd 2.72-2.76
Se4 0.2662 0.5100 0.9373  2 Cd 2.68
Se5 0.3518 0.9296 0.0571  3 Cd 2.71-2.77
Se6 0.4900 0.7338 0.5627  2 Cd 2.68
Se7 0.5100 0.2662 0.4373  2 Cd 2.68
Se8 0.6482 0.0704 0.9429  3 Cd 2.71-2.77
Se9 0.7338 0.4900 0.0627  2 Cd 2.68
Se10 0.7695 0.9165 0.4224  3 Cd 2.72-2.76
Se11 0.9165 0.7695 0.9224  3 Cd 2.72-2.76
Se12 0.9296 0.3518 0.5571  3 Cd 2.71-2.77

(b)
A plane-wave DFT calculation with GGA-PBE was carried out for a relaxed K2Cd2Se3 crystal.

a = 15.1337 Å, b = 4.4434 Å, c = 7.9742 Å
α = 90.00°, β = 120.85°, γ = 90.00°
Closest atoms and distances in Å follow each position.
Fractional coordinates of all 14 atoms:
K1 0.0878 0.0000 0.3293  4 Se 3.23-3.44
K2 0.4122 0.5000 0.6707  4 Se 3.23-3.44
K3 0.5878 0.5000 0.3293  4 Se 3.23-3.44
K4 0.9122 0.0000 0.6707  4 Se 3.23-3.44
Cd1 0.1874 0.5000 0.8092  4 Se 2.64-2.75
Cd2 0.3126 0.0000 0.1908  4 Se 2.64-2.75
Cd3 0.6874 0.0000 0.8092  4 Se 2.64-2.75
Cd4 0.8126 0.5000 0.1908  4 Se 2.64-2.75
Se1 0.0000 0.5000 0.5000  2 Cd 2.64
Se2 0.2002 0.5000 0.1659  3 Cd 2.74-2.75
Se3 0.2998 0.0000 0.8341  3 Cd 2.74-2.75
Se4 0.5000 0.0000 0.5000  2 Cd 2.64
Se5 0.7002 0.0000 0.1659  3 Cd 2.74-2.75
Se6 0.7998 0.5000 0.8341  3 Cd 2.74-2.75

Most stable = (a)